1.
A plane-wave DFT calculation with GGA-PBE was carried out for Ba3TcF after structural relaxation.

a = 5.464 Å, b = 5.464 Å, c = 5.464 Å
α = 90.00°, β = 90.00°, γ = 90.00°
Sites, in units of the cell vectors:
Ba1 0.000 0.000 0.500
Ba2 0.000 0.500 0.000
Ba3 0.500 0.000 0.000
Tc1 0.500 0.500 0.500
F1 0.000 0.000 0.000

Summary:
As for the energy above the lowest structure with this stoichiometry: 0 meV/atom. The symmetry is Pm-3m (221). The calculation puts the raw formation energy at -0.45 eV/atom. The uncorrected energy comes out at -4.049 eV/atom. The magnetization is 1.39 μB per formula unit. The calculated volume comes out at 163 Å³/cell.


2.
A plane-wave DFT calculation with GGA-PBE was carried out for Ba2ZrTcF after structural relaxation.

a = 6.354 Å, b = 6.354 Å, c = 3.993 Å
α = 90.00°, β = 90.00°, γ = 90.00°
Sites, in units of the cell vectors:
Ba1 0.000 0.500 0.000
Ba2 0.500 0.000 0.000
Zr1 0.000 0.000 0.500
Tc1 0.500 0.500 0.000
F1 0.500 0.500 0.500

Summary:
The symmetry is P4/mmm (123). The calculation puts the raw formation energy at 0.53 eV/atom. The uncorrected energy comes out at -4.401 eV/atom. The magnetization is 2.72 μB per formula unit. The calculated volume comes out at 161 Å³/cell.


3.
A plane-wave DFT calculation with GGA-PBE was carried out for BaTe3F after structural relaxation.

a = 6.869 Å, b = 6.869 Å, c = 6.869 Å
α = 90.00°, β = 90.00°, γ = 90.00°
Sites, in units of the cell vectors:
Ba1 0.000 0.000 0.000
Te1 0.000 0.000 0.500
Te2 0.000 0.500 0.000
Te3 0.500 0.000 0.000
F1 0.500 0.500 0.500

Summary:
As for the energy above the lowest structure with this stoichiometry: 1030 meV/atom. The symmetry is Pm-3m (221). The calculation puts the raw formation energy at 0.16 eV/atom. The uncorrected energy comes out at -2.481 eV/atom. The magnetization is 5.01 μB per formula unit. The calculated volume comes out at 324 Å³/cell.


4.
A plane-wave DFT calculation with GGA-PBE was carried out for BaTe2F11 after structural relaxation.

a = 9.019 Å, b = 9.019 Å, c = 9.019 Å
α = 114.97°, β = 112.74°, γ = 101.03°
Sites, in units of the cell vectors:
Ba1 0.250 0.250 0.000
Ba2 0.750 0.750 0.000
Te1 0.165 0.662 0.827
Te2 0.335 0.162 0.496
Te3 0.665 0.838 0.504
Te4 0.835 0.338 0.173
F1 0.000 0.500 0.500
F2 0.048 0.345 0.149
F3 0.092 0.954 0.295
F4 0.159 0.454 0.862
F5 0.197 0.899 0.851
F6 0.205 0.306 0.511
F7 0.295 0.806 0.101
F8 0.303 0.155 0.703
F9 0.341 0.203 0.295
F10 0.408 0.703 0.862
F11 0.452 0.601 0.297
F12 0.500 0.000 0.500
F13 0.548 0.399 0.703
F14 0.592 0.297 0.138
F15 0.659 0.797 0.705
F16 0.697 0.845 0.297
F17 0.705 0.194 0.899
F18 0.795 0.694 0.489
F19 0.803 0.101 0.149
F20 0.841 0.546 0.138
F21 0.908 0.046 0.705
F22 0.952 0.655 0.851

Summary:
The symmetry is Ibam (72). The calculation puts the raw formation energy at -2.47 eV/atom. The uncorrected energy comes out at -4.526 eV/atom. The magnetization is 0.97 μB per formula unit. The calculated volume comes out at 555 Å³/cell.


5.
A plane-wave DFT calculation with GGA-PBE was carried out for Ba2TeF after structural relaxation.

a = 8.632 Å, b = 8.756 Å, c = 8.687 Å
α = 90.00°, β = 110.85°, γ = 90.00°
Sites, in units of the cell vectors:
Ba1 0.198 0.152 0.022
Ba2 0.198 0.348 0.522
Ba3 0.285 0.699 0.904
Ba4 0.285 0.801 0.404
Ba5 0.715 0.199 0.596
Ba6 0.715 0.301 0.096
Ba7 0.802 0.652 0.478
Ba8 0.802 0.848 0.978
Te1 0.414 0.044 0.749
Te2 0.414 0.456 0.249
Te3 0.586 0.544 0.751
Te4 0.586 0.956 0.251
F1 0.132 0.643 0.573
F2 0.132 0.857 0.073
F3 0.868 0.143 0.927
F4 0.868 0.357 0.427

Summary:
As for the energy above the lowest structure with this stoichiometry: 0 meV/atom. The symmetry is P2_1/c (14). The calculation puts the raw formation energy at -2.21 eV/atom. The uncorrected energy comes out at -4.429 eV/atom. The magnetization is 0.91 μB per formula unit. The calculated volume comes out at 614 Å³/cell.


6.
A plane-wave DFT calculation with GGA-PBE was carried out for BaTeF6 after structural relaxation.

a = 11.440 Å, b = 6.669 Å, c = 6.612 Å
α = 90.00°, β = 125.08°, γ = 90.00°
Sites, in units of the cell vectors:
Ba1 0.000 0.000 0.000
Ba2 0.500 0.500 0.000
Te1 0.000 0.500 0.500
Te2 0.500 0.000 0.500
F1 0.020 0.278 0.298
F2 0.020 0.722 0.298
F3 0.222 0.500 0.762
F4 0.278 0.000 0.238
F5 0.480 0.222 0.702
F6 0.480 0.778 0.702
F7 0.520 0.222 0.298
F8 0.520 0.778 0.298
F9 0.722 0.000 0.762
F10 0.778 0.500 0.238
F11 0.980 0.278 0.702
F12 0.980 0.722 0.702

Summary:
As for the energy above the lowest structure with this stoichiometry: 33 meV/atom. The symmetry is C2/m (12). The calculation puts the raw formation energy at -2.79 eV/atom. The uncorrected energy comes out at -4.829 eV/atom. The magnetization is 0.00 μB per formula unit. The calculated volume comes out at 413 Å³/cell.


7.
A plane-wave DFT calculation with GGA-PBE was carried out for Ba2TeF after structural relaxation.

a = 8.023 Å, b = 8.023 Å, c = 8.023 Å
α = 90.00°, β = 90.00°, γ = 90.00°
Sites, in units of the cell vectors:
Ba1 0.250 0.250 0.250
Ba2 0.250 0.250 0.750
Ba3 0.250 0.750 0.250
Ba4 0.250 0.750 0.750
Ba5 0.750 0.250 0.250
Ba6 0.750 0.250 0.750
Ba7 0.750 0.750 0.250
Ba8 0.750 0.750 0.750
Te1 0.000 0.000 0.000
Te2 0.000 0.500 0.500
Te3 0.500 0.000 0.500
Te4 0.500 0.500 0.000
F1 0.000 0.000 0.500
F2 0.000 0.500 0.000
F3 0.500 0.000 0.000
F4 0.500 0.500 0.500

Summary:
As for the energy above the lowest structure with this stoichiometry: 350 meV/atom. The symmetry is Fm-3m (225). The calculation puts the raw formation energy at -1.86 eV/atom. The uncorrected energy comes out at -4.079 eV/atom. The magnetization is 0.00 μB per formula unit. The calculated volume comes out at 516 Å³/cell.


8.
A plane-wave DFT calculation with GGA-PBE was carried out for BaTe3F after structural relaxation.

a = 5.190 Å, b = 5.190 Å, c = 5.190 Å
α = 90.00°, β = 90.00°, γ = 90.00°
Sites, in units of the cell vectors:
Ba1 0.000 0.000 0.000
Te1 0.000 0.500 0.500
Te2 0.500 0.000 0.500
Te3 0.500 0.500 0.000
F1 0.500 0.500 0.500

Summary:
As for the energy above the lowest structure with this stoichiometry: 0 meV/atom. The symmetry is Pm-3m (221). The calculation puts the raw formation energy at -0.87 eV/atom. The uncorrected energy comes out at -3.511 eV/atom. The magnetization is 0.00 μB per formula unit. The calculated volume comes out at 140 Å³/cell.


9.
A plane-wave DFT calculation with GGA-PBE was carried out for Ba2TeF after structural relaxation.

a = 8.180 Å, b = 8.180 Å, c = 8.417 Å
α = 90.00°, β = 90.00°, γ = 90.00°
Sites, in units of the cell vectors:
Ba1 0.177 0.750 0.125
Ba2 0.250 0.177 0.875
Ba3 0.250 0.323 0.375
Ba4 0.323 0.750 0.625
Ba5 0.677 0.250 0.625
Ba6 0.750 0.677 0.375
Ba7 0.750 0.823 0.875
Ba8 0.823 0.250 0.125
Te1 0.000 0.000 0.500
Te2 0.000 0.500 0.750
Te3 0.500 0.000 0.250
Te4 0.500 0.500 0.000
F1 0.000 0.000 0.000
F2 0.000 0.500 0.250
F3 0.500 0.000 0.750
F4 0.500 0.500 0.500

Summary:
As for the energy above the lowest structure with this stoichiometry: 106 meV/atom. The symmetry is I-42d (122). The calculation puts the raw formation energy at -2.11 eV/atom. The uncorrected energy comes out at -4.324 eV/atom. The magnetization is 1.00 μB per formula unit. The calculated volume comes out at 563 Å³/cell.